DFT (PBE) results for a geometry-optimized ReIrW2 structure.

Cell lengths 2.770, 4.876, 5.598 Å; angles 54.72, 90.00, 90.00 degrees
Fractional positions:
W  0.000  0.000  0.000
W  0.500  0.500  0.000
Ir  0.500  0.500  0.500
Re  0.000  0.000  0.500

## Properties
The value obtained for the total moment is 0.000 μB/atom. Its formation energy is 0.016 eV per atom. Its total energy is -11.79 eV/atom.